Entry 1:
This record from Alexandria describes NdCuPd4 after structural relaxation. The functional is GGA-PBE.

a b c (Å): 7.5158 4.0980 6.9038
angles (deg): 90.00 90.00 90.00
Space group Pmma (No. 51)
Symmetry-distinct sites (fractional):
Nd  0.2500  0.0000  0.1452 x2
Cu  0.2500  0.0000  0.7332 x2
Pd  0.0000  0.0000  0.5000 x2
Pd  0.0519  0.5000  0.8076 x4
Pd  0.2500  0.5000  0.4609 x2

Computed properties:
relative energy among the computed polymorphs: 0.000 eV/atom

Entry 2:
This record from Alexandria describes Sm2Al2GaPt5 after structural relaxation. The functional is GGA-PBE.

a b c (Å): 10.4479 10.4479 3.3230
angles (deg): 90.00 90.00 90.00
Space group P4/mbm (No. 127)
Symmetry-distinct sites (fractional):
Sm  0.1765  0.3235  0.0000 x4
Al  0.1271  0.6271  0.0000 x4
Ga  0.0000  0.0000  0.0000 x2
Pt  0.0000  0.5000  0.5000 x2
Pt  0.0501  0.8006  0.5000 x8

Computed properties:
E_tot: -5.92 eV/atom

Entry 3:
This record from Alexandria describes Ca2SmPdO4 after structural relaxation. The functional is GGA-PBE.

a b c (Å): 6.0161 3.3960 6.1851
angles (deg): 90.00 114.52 90.00
Space group P2/m (No. 10)
Symmetry-distinct sites (fractional):
Ca  0.0000  0.0000  0.0000 x1
Ca  0.5000  0.5000  0.0000 x1
Sm  0.0000  0.5000  0.5000 x1
Pd  0.5000  0.0000  0.5000 x1
O  0.2172  0.0000  0.7744 x2
O  0.2450  0.5000  0.2605 x2

Computed properties:
E_form (uncorrected): -2375 meV/atom

Entry 4:
This record from Alexandria describes BaNbTeN2 after structural relaxation. The functional is GGA-PBE.

a b c (Å): 4.3730 4.3730 5.6087
angles (deg): 90.00 90.00 90.00
Space group P4/mmm (No. 123)
Symmetry-distinct sites (fractional):
Ba  0.0000  0.0000  0.0000 x1
Nb  0.5000  0.5000  0.5000 x1
Te  0.5000  0.5000  0.0000 x1
N  0.0000  0.5000  0.5000 x2

Computed properties:
relative energy among the computed polymorphs: 0.000 eV/atom
E_form (uncorrected): -132 meV/atom

Calculated volume, record by record: 212.6 362.7 115.0 107.3 Å³/cell
Total magnetization, record by record: 0.0 0.0 1.0 0.0 Bohr magnetons per cell